A plane-wave DFT calculation with PBE was carried out for Sc2TaBr after structural relaxation.

Calculated values
Total magnetic moment ... 0.000 μB per cell
Offset from the most stable computed form ... 0.0040 eV/atom
Final energy ... -6.846 eV/atom
Raw formation energy ... -0.299 eV/atom

Cell lengths 9.1659, 9.1659, 9.1659 Å; angles 20.85, 20.85, 20.85 degrees
Element x y z (fractional)
Br 0.7500 0.7500 0.7500
Sc 0.0014 0.0014 0.0014
Sc 0.4986 0.4986 0.4986
Ta 0.2500 0.2500 0.2500